[1]
BaCeTcN4 | PBE-GGA | relaxed

Lattice parameters (Å, degrees): 6.1158 5.8654 7.4628 90.00 106.30 90.00
Last column: nearest neighbours and their distance in Å.
Sites, in units of the cell vectors:
1 Ba 0.2174 0.2500 0.4254  4 N 2.75-2.93
2 Ba 0.7826 0.7500 0.5746  4 N 2.75-2.93
3 Ce 0.2878 0.2500 0.9472  6 N 2.38-2.59
4 Ce 0.7122 0.7500 0.0528  6 N 2.38-2.59
5 Tc 0.2497 0.7500 0.1677  4 N 1.80-1.85
6 Tc 0.7503 0.2500 0.8323  4 N 1.80-1.85
7 N 0.0589 0.7500 0.9357  1 Tc 1.80
8 N 0.0650 0.7500 0.3237  1 Tc 1.83
9 N 0.4500 0.5067 0.1968  1 Tc 1.85
10 N 0.4500 0.9933 0.1968  1 Tc 1.85
11 N 0.5500 0.0067 0.8032  1 Tc 1.85
12 N 0.5500 0.4933 0.8032  1 Tc 1.85
13 N 0.9350 0.2500 0.6763  1 Tc 1.83
14 N 0.9411 0.2500 0.0643  1 Tc 1.80

Computed properties:
Theoretical density ... 5.6 Mg/m³
DFT total energy ... -113.5 eV/cell
SG ... No. 11
DOS at the Fermi energy ... 10.74 states/eV per cell

[2]
Ba4Ce3TcN8 | PBE-GGA | relaxed

Lattice parameters (Å, degrees): 7.5358 7.5358 7.5358 56.65 56.65 56.65
Last column: nearest neighbours and their distance in Å.
Sites, in units of the cell vectors:
1 Ba 0.0000 0.0000 0.0000  6 N 3.00
2 Ba 0.0000 0.5000 0.5000  6 N 2.81-2.87
3 Ba 0.5000 0.0000 0.5000  6 N 2.81-2.87
4 Ba 0.5000 0.5000 0.0000  6 N 2.81-2.87
5 Ce 0.0000 0.0000 0.5000  6 N 2.37-2.45
6 Ce 0.0000 0.5000 0.0000  6 N 2.37-2.45
7 Ce 0.5000 0.0000 0.0000  6 N 2.37-2.45
8 Tc 0.5000 0.5000 0.5000  6 N 2.22
9 N 0.2278 0.2278 0.2278  3 Ce 2.37
10 N 0.2556 0.7140 0.7140  1 Tc 2.22, 2 Ce 2.45
11 N 0.2860 0.2860 0.7444  1 Tc 2.22, 2 Ce 2.45
12 N 0.2860 0.7444 0.2860  1 Tc 2.22, 2 Ce 2.45
13 N 0.7140 0.2556 0.7140  1 Tc 2.22, 2 Ce 2.45
14 N 0.7140 0.7140 0.2556  1 Tc 2.22, 2 Ce 2.45
15 N 0.7444 0.2860 0.2860  1 Tc 2.22, 2 Ce 2.45
16 N 0.7722 0.7722 0.7722  3 Ce 2.37

Computed properties:
Theoretical density ... 7.0 Mg/m³
DFT total energy ... -113.9 eV/cell
SG ... No. 166
DOS at the Fermi energy ... 7.84 states/eV per cell

[3]
Ba2CeTc2N6 | PBE-GGA | relaxed

Lattice parameters (Å, degrees): 6.2495 6.2495 7.2124 118.55 118.55 59.01
Last column: nearest neighbours and their distance in Å.
Sites, in units of the cell vectors:
1 Ba 0.2149 0.2149 0.1897  5 N 2.89-3.03
2 Ba 0.7851 0.7851 0.8103  5 N 2.89-3.03
3 Ce 0.0000 0.0000 0.5000  6 N 2.35-2.45
4 Tc 0.4605 0.4605 0.8002  3 N 1.80-1.83
5 Tc 0.5395 0.5395 0.1998  3 N 1.80-1.83
6 N 0.2109 0.6997 0.2282  1 Tc 1.83
7 N 0.2628 0.2628 0.6453  1 Tc 1.80
8 N 0.3003 0.7891 0.7718  1 Tc 1.83
9 N 0.6997 0.2109 0.2282  1 Tc 1.83
10 N 0.7372 0.7372 0.3547  1 Tc 1.80
11 N 0.7891 0.3003 0.7718  1 Tc 1.83

Computed properties:
Theoretical density ... 5.7 Mg/m³
DFT total energy ... -87.8 eV/cell
SG ... No. 12
DOS at the Fermi energy ... 7.23 states/eV per cell

[4]
BaCeTcN3 | PBE-GGA | relaxed

Lattice parameters (Å, degrees): 7.1184 3.6108 9.1971 90.00 103.74 90.00
Last column: nearest neighbours and their distance in Å.
Sites, in units of the cell vectors:
1 Ba 0.2439 0.2500 0.2488  5 N 2.70-2.91
2 Ba 0.7561 0.7500 0.7512  5 N 2.70-2.91
3 Ce 0.3292 0.2500 0.8632  6 N 2.33-2.57
4 Ce 0.6708 0.7500 0.1368  6 N 2.33-2.57
5 Tc 0.1170 0.7500 0.5730  2 N 1.87-2.06
6 Tc 0.8830 0.2500 0.4270  2 N 1.87-2.06
7 N 0.0211 0.2500 0.6508  3 Tc 2.06-2.11
8 N 0.3380 0.7500 0.0338  3 Ce 2.33-2.38
9 N 0.3668 0.7500 0.6960  1 Tc 1.87
10 N 0.6332 0.2500 0.3040  1 Tc 1.87
11 N 0.6620 0.2500 0.9662  3 Ce 2.33-2.38
12 N 0.9789 0.7500 0.3492  3 Tc 2.06-2.11

Computed properties:
Theoretical density ... 6.0 Mg/m³
DFT total energy ... -95.3 eV/cell
SG ... No. 11
DOS at the Fermi energy ... 5.42 states/eV per cell

[5]
BaCeTiN3 | PBE-GGA | relaxed

Lattice parameters (Å, degrees): 7.8335 3.7098 8.1331 90.00 101.64 90.00
Last column: nearest neighbours and their distance in Å.
Sites, in units of the cell vectors:
1 Ba 0.1805 0.2500 0.1944  5 N 2.86-3.04
2 Ba 0.8195 0.7500 0.8056  5 N 2.86-3.04
3 Ce 0.3600 0.7500 0.8442  3 N 2.24-2.40
4 Ce 0.6400 0.2500 0.1558  3 N 2.24-2.40
5 Ti 0.1007 0.2500 0.5996  4 N 1.89-2.03
6 Ti 0.8993 0.7500 0.4004  4 N 1.89-2.03
7 N 0.1315 0.2500 0.8360  1 Ti 1.89
8 N 0.1517 0.7500 0.5261  3 Ti 2.01-2.03
9 N 0.4413 0.7500 0.1240  3 Ce 2.24-2.40
10 N 0.5587 0.2500 0.8760  3 Ce 2.24-2.40
11 N 0.8483 0.2500 0.4739  3 Ti 2.01-2.03
12 N 0.8685 0.7500 0.1640  1 Ti 1.89

Computed properties:
Theoretical density ... 5.3 Mg/m³
DFT total energy ... -95.5 eV/cell
SG ... No. 11
DOS at the Fermi energy ... 6.53 states/eV per cell

[6]
BaCe2TiN4 | PBE-GGA | relaxed

Lattice parameters (Å, degrees): 6.5264 6.5264 12.2318 90.00 90.00 148.08
Last column: nearest neighbours and their distance in Å.
Sites, in units of the cell vectors:
1 Ba 0.0936 0.9064 0.7500  8 N 3.00-3.28, 1 Ti 3.34
2 Ba 0.9064 0.0936 0.2500  8 N 3.00-3.28, 1 Ti 3.34
3 Ce 0.3696 0.6304 0.5408  6 N 2.43-2.59
4 Ce 0.3696 0.6304 0.9592  6 N 2.43-2.59
5 Ce 0.6304 0.3696 0.0408  6 N 2.43-2.59
6 Ce 0.6304 0.3696 0.4592  6 N 2.43-2.59
7 Ti 0.1728 0.8272 0.2500  4 N 1.91-2.03
8 Ti 0.8272 0.1728 0.7500  4 N 1.91-2.03
9 N 0.0000 0.0000 0.0000  4 Ce 2.48
10 N 0.0000 0.0000 0.5000  4 Ce 2.48
11 N 0.2536 0.7464 0.1181  1 Ti 1.91
12 N 0.2536 0.7464 0.3819  1 Ti 1.91
13 N 0.4023 0.5977 0.7500  2 Ti 2.03
14 N 0.5977 0.4023 0.2500  2 Ti 2.03
15 N 0.7464 0.2536 0.6181  1 Ti 1.91
16 N 0.7464 0.2536 0.8819  1 Ti 1.91

Computed properties:
Theoretical density ... 6.3 Mg/m³
DFT total energy ... -130.7 eV/cell
SG ... No. 63
DOS at the Fermi energy ... 15.71 states/eV per cell

[7]
Ba3Ce2UN6 | PBE-GGA | relaxed

Lattice parameters (Å, degrees): 6.3196 6.3196 6.7373 98.96 98.96 119.98
Last column: nearest neighbours and their distance in Å.
Sites, in units of the cell vectors:
1 Ba 0.0000 0.0000 0.0000  6 N 2.92-3.06
2 Ba 0.3311 0.6689 0.0000  6 N 2.91-3.07
3 Ba 0.6689 0.3311 0.0000  6 N 2.91-3.07
4 Ce 0.1665 0.8335 0.5000  6 N 2.45-2.46
5 Ce 0.8335 0.1665 0.5000  6 N 2.45-2.46
6 U 0.5000 0.5000 0.5000  6 N 2.25-2.26
7 N 0.1333 0.4417 0.3267  1 U 2.25, 2 Ce 2.45-2.46
8 N 0.2500 0.2500 0.6777  1 U 2.26, 2 Ce 2.46
9 N 0.4417 0.1333 0.3267  1 U 2.25, 2 Ce 2.45-2.46
10 N 0.5583 0.8667 0.6733  1 U 2.25, 2 Ce 2.45-2.46
11 N 0.7500 0.7500 0.3223  1 U 2.26, 2 Ce 2.46
12 N 0.8667 0.5583 0.6733  1 U 2.25, 2 Ce 2.45-2.46

Computed properties:
Theoretical density ... 7.6 Mg/m³
DFT total energy ... -92.2 eV/cell
SG ... No. 12
DOS at the Fermi energy ... 6.47 states/eV per cell

[8]
BaCeUN4 | PBE-GGA | relaxed

Lattice parameters (Å, degrees): 7.2073 7.2073 6.1350 90.00 90.00 130.47
Last column: nearest neighbours and their distance in Å.
Sites, in units of the cell vectors:
1 Ba 0.0987 0.9013 0.7500  1 N 2.59
2 Ba 0.9013 0.0987 0.2500  1 N 2.59
3 Ce 0.3975 0.6025 0.7500  1 N 2.09
4 Ce 0.6025 0.3975 0.2500  1 N 2.09
5 U 0.2546 0.7454 0.2500  5 N 2.03-2.15
6 U 0.7454 0.2546 0.7500  5 N 2.03-2.15
7 N 0.0000 0.5000 0.0000  2 U 2.15
8 N 0.0000 0.5000 0.5000  2 U 2.15
9 N 0.0992 0.9008 0.2500  1 U 2.03
10 N 0.4427 0.5573 0.2500  1 Ce 2.09
11 N 0.5000 0.0000 0.0000  2 U 2.15
12 N 0.5000 0.0000 0.5000  2 U 2.15
13 N 0.5573 0.4427 0.7500  1 Ce 2.09
14 N 0.9008 0.0992 0.7500  1 U 2.03

Computed properties:
Theoretical density ... 7.8 Mg/m³
DFT total energy ... -119.9 eV/cell
SG ... No. 63
DOS at the Fermi energy ... 3.37 states/eV per cell

[9]
BaCe2VN4 | PBE-GGA | relaxed

Lattice parameters (Å, degrees): 6.4828 6.4828 12.0880 90.00 90.00 148.13
Last column: nearest neighbours and their distance in Å.
Sites, in units of the cell vectors:
1 Ba 0.0898 0.9102 0.7500  8 N 3.00-3.22, 1 V 3.29
2 Ba 0.9102 0.0898 0.2500  8 N 3.00-3.22, 1 V 3.29
3 Ce 0.3684 0.6316 0.5436  6 N 2.46-2.52
4 Ce 0.3684 0.6316 0.9564  6 N 2.46-2.52
5 Ce 0.6316 0.3684 0.0436  6 N 2.46-2.52
6 Ce 0.6316 0.3684 0.4564  6 N 2.46-2.52
7 V 0.1744 0.8256 0.2500  4 N 1.84-1.99
8 V 0.8256 0.1744 0.7500  4 N 1.84-1.99
9 N 0.0000 0.0000 0.0000  4 Ce 2.48
10 N 0.0000 0.0000 0.5000  4 Ce 2.48
11 N 0.2523 0.7477 0.1206  1 V 1.84
12 N 0.2523 0.7477 0.3794  1 V 1.84
13 N 0.3966 0.6034 0.7500  2 V 1.99
14 N 0.6034 0.3966 0.2500  2 V 1.99
15 N 0.7477 0.2523 0.6206  1 V 1.84
16 N 0.7477 0.2523 0.8794  1 V 1.84

Computed properties:
Theoretical density ... 6.5 Mg/m³
DFT total energy ... -131.5 eV/cell
SG ... No. 63
DOS at the Fermi energy ... 18.65 states/eV per cell

[10]
BaCe2ZnN4 | PBE-GGA | relaxed

Lattice parameters (Å, degrees): 6.3393 6.3393 11.9379 90.00 90.00 146.63
Last column: nearest neighbours and their distance in Å.
Sites, in units of the cell vectors:
1 Ba 0.0986 0.9014 0.7500  6 N 2.82-3.10
2 Ba 0.9014 0.0986 0.2500  6 N 2.82-3.10
3 Ce 0.3672 0.6328 0.5528  6 N 2.32-2.51
4 Ce 0.3672 0.6328 0.9472  6 N 2.32-2.51
5 Ce 0.6328 0.3672 0.0528  6 N 2.32-2.51
6 Ce 0.6328 0.3672 0.4472  6 N 2.32-2.51
7 Zn 0.1694 0.8306 0.2500  4 N 2.02-2.12
8 Zn 0.8306 0.1694 0.7500  4 N 2.02-2.12
9 N 0.0000 0.0000 0.0000  4 Ce 2.51
10 N 0.0000 0.0000 0.5000  4 Ce 2.51
11 N 0.2528 0.7472 0.1033  1 Zn 2.02
12 N 0.2528 0.7472 0.3967  1 Zn 2.02
13 N 0.4208 0.5792 0.7500  2 Zn 2.12
14 N 0.5792 0.4208 0.2500  2 Zn 2.12
15 N 0.7472 0.2528 0.6033  1 Zn 2.02
16 N 0.7472 0.2528 0.8967  1 Zn 2.02

Computed properties:
Theoretical density ... 6.8 Mg/m³
DFT total energy ... -113.3 eV/cell
SG ... No. 63

[11]
BaCeZnN3 | PBE-GGA | relaxed

Lattice parameters (Å, degrees): 7.7391 3.6302 7.9656 90.00 101.62 90.00
Last column: nearest neighbours and their distance in Å.
Sites, in units of the cell vectors:
1 Ba 0.1812 0.2500 0.2150  7 N 2.79-3.10
2 Ba 0.8188 0.7500 0.7850  7 N 2.79-3.10
3 Ce 0.3493 0.7500 0.8406  5 N 2.31-2.40
4 Ce 0.6507 0.2500 0.1594  5 N 2.31-2.40
5 Zn 0.0975 0.2500 0.6036  4 N 2.00-2.10
6 Zn 0.9025 0.7500 0.3964  4 N 2.00-2.10
7 N 0.1506 0.2500 0.8599  1 Zn 2.00
8 N 0.1692 0.7500 0.5202  3 Zn 2.05-2.10
9 N 0.4487 0.7500 0.1340  3 Ce 2.31-2.38
10 N 0.5513 0.2500 0.8660  3 Ce 2.31-2.38
11 N 0.8308 0.2500 0.4798  3 Zn 2.05-2.10
12 N 0.8494 0.7500 0.1401  1 Zn 2.00

Computed properties:
Theoretical density ... 5.8 Mg/m³
DFT total energy ... -74.7 eV/cell
SG ... No. 11
DOS at the Fermi energy ... 11.42 states/eV per cell

[12]
BaCeZrN3 | PBE-GGA | relaxed

Lattice parameters (Å, degrees): 7.2907 3.5912 9.9880 90.00 93.85 90.00
Last column: nearest neighbours and their distance in Å.
Sites, in units of the cell vectors:
1 Ba 0.1540 0.2500 0.2071  6 N 2.83-3.07
2 Ba 0.8460 0.7500 0.7929  6 N 2.83-3.07
3 Ce 0.3732 0.7500 0.8715  5 N 2.23-2.44
4 Ce 0.6268 0.2500 0.1285  5 N 2.23-2.44
5 Zr 0.1579 0.2500 0.5690  4 N 2.07-2.14
6 Zr 0.8421 0.7500 0.4310  4 N 2.07-2.14
7 N 0.1362 0.7500 0.4534  3 Zr 2.14
8 N 0.1856 0.2500 0.7764  1 Zr 2.07
9 N 0.4019 0.7500 0.0953  3 Ce 2.23-2.44
10 N 0.5981 0.2500 0.9047  3 Ce 2.23-2.44
11 N 0.8144 0.7500 0.2236  1 Zr 2.07
12 N 0.8638 0.2500 0.5466  3 Zr 2.14

Computed properties:
Theoretical density ... 5.2 Mg/m³
DFT total energy ... -95.9 eV/cell
SG ... No. 11
DOS at the Fermi energy ... 7.46 states/eV per cell